# MnBeAs4, relaxed, DFT PBE
# M_tot = 4.2 μB/f.u.
# Uncorrected energy = -4.48 eV per atom
# Calculated formation energy = 4.61 eV/f.u.
data_MnBeAs4
_chemical_formula_sum 'Mn4 Be4 As16'
_symmetry_space_group_name_H-M 'F -4 3 m'
_symmetry_Int_Tables_number 216
_symmetry_space_group_name_Hall 'F -4 2 3'
_cell_length_a 7.707
_cell_length_b 7.707
_cell_length_c 7.707
_cell_angle_alpha 90.00
_cell_angle_beta 90.00
_cell_angle_gamma 90.00
loop_
_atom_site_label
_atom_site_type_symbol
_atom_site_fract_x
_atom_site_fract_y
_atom_site_fract_z
Mn1 Mn 0.000 0.000 0.000
Be1 Be 0.250 0.250 0.250
As1 As 0.124 0.124 0.624

# MnBeAs3, relaxed, DFT PBE
# M_tot = 0.4 μB/f.u.
# Uncorrected energy = -4.61 eV per atom
# Calculated formation energy = 3.79 eV/f.u.
data_MnBeAs3
_chemical_formula_sum 'Mn1 Be1 As3'
_symmetry_space_group_name_H-M 'P m -3 m'
_symmetry_Int_Tables_number 221
_symmetry_space_group_name_Hall '-P 4 2 3'
_cell_length_a 4.591
_cell_length_b 4.591
_cell_length_c 4.591
_cell_angle_alpha 90.00
_cell_angle_beta 90.00
_cell_angle_gamma 90.00
loop_
_atom_site_label
_atom_site_type_symbol
_atom_site_fract_x
_atom_site_fract_y
_atom_site_fract_z
Mn1 Mn 0.000 0.000 0.000
Be1 Be 0.500 0.500 0.500
As1 As 0.000 0.000 0.500